Ac4Ag5Pb, optimized geometry, DFT PBE; E_form = -213 meV/atom; DFT total energy = -36.5 eV per formula unit
1.0
-2.459 -0.806 3.021
2.322 -3.045 1.078
9.898 11.482 11.121
Ac Ag Pb
4 5 1
Direct
0.000 0.000 0.185 Ac
0.000 0.000 0.393 Ac
0.000 0.000 0.607 Ac
0.000 0.000 0.815 Ac
0.500 0.500 0.086 Ag
0.500 0.500 0.290 Ag
0.500 0.500 0.500 Ag
0.500 0.500 0.710 Ag
0.500 0.500 0.914 Ag
0.000 0.000 0.000 Pb